# Sm2PaCd, relaxed, DFT GGA-PBE
# **Relative energy among the computed polymorphs**: 103.1 meV/atom
# **Density**: 9679 kg/m³
# **ΔE_f**: 0.07 eV per atom
# **D(E_F)**: 1.74 states/eV/atom
data_Sm2PaCd
_space_group_name_H-M_alt 'P 4/m m m'
_space_group_IT_number 123
_space_group_name_Hall '-P 4 2'
_cell_length_a 5.662
_cell_length_b 5.662
_cell_length_c 3.447
_cell_angle_alpha 90.00
_cell_angle_beta 90.00
_cell_angle_gamma 90.00
loop_
_atom_site_label
_atom_site_type_symbol
_atom_site_fract_x
_atom_site_fract_y
_atom_site_fract_z
Sm1 Sm 0.000 0.500 0.000
Pa1 Pa 0.000 0.000 0.500
Cd1 Cd 0.500 0.500 0.500



# SmPaCd, relaxed, DFT GGA-PBE
# **Density**: 9063 kg/m³
# **ΔE_f**: 0.49 eV per atom
# **D(E_F)**: 1.34 states/eV/atom
data_SmPaCd
_space_group_name_H-M_alt 'F m m m'
_space_group_IT_number 69
_space_group_name_Hall '-F 2 2'
_cell_length_a 5.343
_cell_length_b 8.273
_cell_length_c 16.375
_cell_angle_alpha 90.00
_cell_angle_beta 90.00
_cell_angle_gamma 90.00
loop_
_atom_site_label
_atom_site_type_symbol
_atom_site_fract_x
_atom_site_fract_y
_atom_site_fract_z
Sm1 Sm 0.000 0.000 0.099
Pa1 Pa 0.250 0.250 0.250
Cd1 Cd 0.000 0.167 0.500